No. 1
{
  "formula": "CaHoPdPb",
  "functional": "PBE-GGA",
  "state": "relaxed",
  "mass_density_g_cm3": 8.61,
  "delta_e_f_ev_per_atom": -0.59,
  "lattice": [[0.000, 3.684, 3.684], [3.684, 0.000, 3.684], [3.684, 3.684, 0.000]],
  "species": ["Ca", "Ho", "Pd", "Pb"],
  "frac_coords": [[0.000, 0.000, 0.000], [0.500, 0.500, 0.500], [0.250, 0.250, 0.250], [0.750, 0.750, 0.750]]
}

No. 2
{
  "formula": "Ca2Ho2Pb2S",
  "functional": "PBE-GGA",
  "state": "relaxed",
  "mass_density_g_cm3": 6.52,
  "formation_energy_uncorrected_ev_per_atom": -0.91,
  "lattice": [[-2.559, 2.559, 8.329], [2.559, -2.559, 8.329], [2.559, 2.559, -8.329]],
  "species": ["Ca", "Ca", "Ho", "Ho", "Pb", "Pb", "S"],
  "frac_coords": [[0.175, 0.175, 0.000], [0.825, 0.825, 0.000], [0.000, 0.500, 0.500], [0.500, 0.000, 0.500], [0.370, 0.370, 0.000], [0.630, 0.630, 0.000], [0.000, 0.000, 0.000]]
}

No. 3
{
  "formula": "CaHo4PbS8",
  "functional": "PBE-GGA",
  "state": "relaxed",
  "mass_density_g_cm3": 5.02,
  "formation_energy_uncorrected_ev_per_atom": -1.79,
  "lattice": [[4.052, 2.339, 6.765], [-4.052, 2.339, 6.765], [0.000, -4.679, 6.765]],
  "species": ["Ca", "Ho", "Ho", "Ho", "Ho", "Pb", "S", "S", "S", "S", "S", "S", "S", "S"],
  "frac_coords": [[0.000, 0.000, 0.000], [0.119, 0.627, 0.627], [0.248, 0.248, 0.248], [0.627, 0.119, 0.627], [0.627, 0.627, 0.119], [0.629, 0.629, 0.629], [0.370, 0.370, 0.857], [0.370, 0.857, 0.370], [0.382, 0.382, 0.382], [0.405, 0.875, 0.875], [0.857, 0.370, 0.370], [0.864, 0.864, 0.864], [0.875, 0.405, 0.875], [0.875, 0.875, 0.405]]
}

No. 4
{
  "formula": "Ca2HoPbS4",
  "functional": "PBE-GGA",
  "state": "relaxed",
  "mass_density_g_cm3": 5.12,
  "formation_energy_uncorrected_ev_per_atom": -1.63,
  "lattice": [[6.997, 0.000, 0.000], [0.000, 4.025, 0.000], [-2.349, 0.000, 6.688]],
  "species": ["Ca", "Ca", "Ho", "Pb", "S", "S", "S", "S"],
  "frac_coords": [[0.000, 0.000, 0.000], [0.000, 0.500, 0.500], [0.500, 0.000, 0.500], [0.500, 0.500, 0.000], [0.245, 0.000, 0.734], [0.253, 0.500, 0.262], [0.747, 0.500, 0.738], [0.755, 0.000, 0.266]]
}

No. 5
{
  "formula": "Ca2HoPbSe4",
  "functional": "PBE-GGA",
  "state": "relaxed",
  "mass_density_g_cm3": 5.99,
  "formation_energy_uncorrected_ev_per_atom": -1.52,
  "lattice": [[7.290, 0.000, 0.000], [0.000, 4.200, 0.000], [-2.445, 0.000, 6.957]],
  "species": ["Ca", "Ca", "Ho", "Pb", "Se", "Se", "Se", "Se"],
  "frac_coords": [[0.000, 0.000, 0.000], [0.000, 0.500, 0.500], [0.500, 0.000, 0.500], [0.500, 0.500, 0.000], [0.246, 0.000, 0.736], [0.253, 0.500, 0.261], [0.747, 0.500, 0.739], [0.754, 0.000, 0.264]]
}

No. 6
{
  "formula": "CaHoTe4Pb2",
  "functional": "PBE-GGA",
  "state": "relaxed",
  "mass_density_g_cm3": 6.95,
  "formation_energy_uncorrected_ev_per_atom": -0.86,
  "lattice": [[7.924, 0.000, 0.000], [0.000, 4.535, 0.000], [-2.607, 0.000, 7.513]],
  "species": ["Ca", "Ho", "Te", "Te", "Te", "Te", "Pb", "Pb"],
  "frac_coords": [[0.000, 0.000, 0.000], [0.000, 0.500, 0.500], [0.232, 0.000, 0.736], [0.237, 0.500, 0.253], [0.763, 0.500, 0.747], [0.768, 0.000, 0.264], [0.500, 0.000, 0.500], [0.500, 0.500, 0.000]]
}